1.
Entry from Alexandria: a relaxed TiGaO2 crystal (PBE-GGA).

Properties
Crystal system: trigonal
Space-group type: No. 166

a = 2.9245 Å, b = 2.9245 Å, c = 20.0169 Å
α = 90.00°, β = 90.00°, γ = 120.00°
Last column: nearest neighbours and their distance in Å.
Fractional coordinates of all 12 atoms:
Ti 0.0000 0.0000 0.0000  6 O 2.01
Ti 0.3333 0.6667 0.6667  6 O 2.01
Ti 0.6667 0.3333 0.3333  6 O 2.01
Ga 0.0000 0.0000 0.5000  2 O 2.24
Ga 0.3333 0.6667 0.1667  2 O 2.24
Ga 0.6667 0.3333 0.8333  2 O 2.24
O 0.0000 0.0000 0.3879  3 Ti 2.01, 1 Ga 2.24
O 0.0000 0.0000 0.6121  3 Ti 2.01, 1 Ga 2.24
O 0.3333 0.6667 0.0546  3 Ti 2.01, 1 Ga 2.24
O 0.3333 0.6667 0.2788  3 Ti 2.01, 1 Ga 2.24
O 0.6667 0.3333 0.7212  3 Ti 2.01, 1 Ga 2.24
O 0.6667 0.3333 0.9454  3 Ti 2.01, 1 Ga 2.24


2.
Entry from Alexandria: a relaxed Ti3Ga2O crystal (PBE-GGA).

Properties
Crystal system: cubic
Space-group type: No. 213

a = 6.8739 Å, b = 6.8739 Å, c = 6.8739 Å
α = 90.00°, β = 90.00°, γ = 90.00°
Last column: nearest neighbours and their distance in Å.
Fractional coordinates of all 24 atoms:
Ti 0.0424 0.1250 0.7924  2 O 2.14
Ti 0.1250 0.7924 0.0424  2 O 2.14
Ti 0.2076 0.5424 0.3750  2 O 2.14
Ti 0.2924 0.4576 0.8750  2 O 2.14
Ti 0.3750 0.2076 0.5424  2 O 2.14
Ti 0.4576 0.8750 0.2924  2 O 2.14
Ti 0.5424 0.3750 0.2076  2 O 2.14
Ti 0.6250 0.7076 0.9576  2 O 2.14
Ti 0.7076 0.9576 0.6250  2 O 2.14
Ti 0.7924 0.0424 0.1250  2 O 2.14
Ti 0.8750 0.2924 0.4576  2 O 2.14
Ti 0.9576 0.6250 0.7076  2 O 2.14
Ga 0.0699 0.9301 0.4301  3 Ga 2.55, 3 Ti 2.83
Ga 0.1801 0.1801 0.1801  3 Ga 2.55, 3 Ti 2.83
Ga 0.3199 0.8199 0.6801  3 Ga 2.55, 3 Ti 2.83
Ga 0.4301 0.0699 0.9301  3 Ga 2.55, 3 Ti 2.83
Ga 0.5699 0.5699 0.5699  3 Ga 2.55, 3 Ti 2.83
Ga 0.6801 0.3199 0.8199  3 Ga 2.55, 3 Ti 2.83
Ga 0.8199 0.6801 0.3199  3 Ga 2.55, 3 Ti 2.83
Ga 0.9301 0.4301 0.0699  3 Ga 2.55, 3 Ti 2.83
O 0.1250 0.3750 0.6250  6 Ti 2.14
O 0.3750 0.6250 0.1250  6 Ti 2.14
O 0.6250 0.1250 0.3750  6 Ti 2.14
O 0.8750 0.8750 0.8750  6 Ti 2.14


3.
Entry from Alexandria: a relaxed UTiGaO6 crystal (PBE-GGA).

Properties
Crystal system: trigonal
Space-group type: No. 163

a = 5.2241 Å, b = 5.2241 Å, c = 8.9048 Å
α = 90.00°, β = 90.00°, γ = 120.00°
Last column: nearest neighbours and their distance in Å.
Fractional coordinates of all 18 atoms:
U 0.3333 0.6667 0.2500  6 O 2.16
U 0.6667 0.3333 0.7500  6 O 2.16
Ti 0.0000 0.0000 0.0000  6 O 2.01
Ti 0.0000 0.0000 0.5000  6 O 2.01
Ga 0.3333 0.6667 0.7500  6 O 2.03
Ga 0.6667 0.3333 0.2500  6 O 2.03
O 0.0195 0.3298 0.6253  1 Ti 2.01, 1 Ga 2.03, 1 U 2.16
O 0.0195 0.6897 0.8747  1 Ti 2.01, 1 Ga 2.03, 1 U 2.16
O 0.3103 0.3298 0.8747  1 Ti 2.01, 1 Ga 2.03, 1 U 2.16
O 0.3103 0.9805 0.6253  1 Ti 2.01, 1 Ga 2.03, 1 U 2.16
O 0.3298 0.0195 0.1253  1 Ti 2.01, 1 Ga 2.03, 1 U 2.16
O 0.3298 0.3103 0.3747  1 Ti 2.01, 1 Ga 2.03, 1 U 2.16
O 0.6702 0.6897 0.6253  1 Ti 2.01, 1 Ga 2.03, 1 U 2.16
O 0.6702 0.9805 0.8747  1 Ti 2.01, 1 Ga 2.03, 1 U 2.16
O 0.6897 0.0195 0.3747  1 Ti 2.01, 1 Ga 2.03, 1 U 2.16
O 0.6897 0.6702 0.1253  1 Ti 2.01, 1 Ga 2.03, 1 U 2.16
O 0.9805 0.3103 0.1253  1 Ti 2.01, 1 Ga 2.03, 1 U 2.16
O 0.9805 0.6702 0.3747  1 Ti 2.01, 1 Ga 2.03, 1 U 2.16


So what do the calculations give for VASP energy? Going down the list: -88.1; -167.8; -150.6 eV per cell.
So what do the calculations give for energy relative to the elements, uncorrected? Going down the list: -2.131; -1.208; -2.594 eV per atom.